# LiMn2NiO6 PBE+U relaxed
data_LiMn2NiO6
_chemical_formula_sum 'Li1 Mn2 Ni1 O6'
_symmetry_space_group_name_H-M 'P -1'
_symmetry_Int_Tables_number 2
_symmetry_space_group_name_Hall '-P 1'
_cell_length_a 2.924
_cell_length_b 5.895
_cell_length_c 6.627
_cell_angle_alpha 74.75
_cell_angle_beta 77.44
_cell_angle_gamma 88.29
loop_
_atom_site_label
_atom_site_type_symbol
_atom_site_fract_x
_atom_site_fract_y
_atom_site_fract_z
Li1 Li 0.000 0.000 0.000
Mn1 Mn 0.321 0.178 0.337
Ni1 Ni 0.000 0.500 0.000
O1 O 0.174 0.047 0.650
O2 O 0.178 0.603 0.691
O3 O 0.446 0.256 0.033
# - Electronic total energy: -6.2320 eV/atom
# - Distance to the lowest polymorph of the same formula: 0.0108 eV/atom
# - Crystal system: triclinic
# - Mass density: 4.2 Mg/m³